The following is a PBE calculation of crystalline Pm2NpAsN5 at its relaxed geometry, from Alexandria.

The structure in POSCAR format:
```
Pm2NpAsN5
1.0
-0.283 0.803 3.435
-6.906 -0.323 -2.315
-0.310 -10.090 2.334
N As Pm Np
10 2 4 2
Cartesian
-7.171 -7.793 1.232
-6.843 -4.804 2.383
-3.181 -1.190 1.840
-4.670 -3.791 0.502
-0.346 -2.422 2.361
-2.453 -4.696 2.719
-4.262 -6.624 1.198
-2.909 -8.458 3.561
-0.514 -0.227 0.011
-4.895 -0.022 -0.398
-1.033 -9.086 3.863
-6.584 -4.378 0.482
-1.770 -6.870 1.461
-5.554 -7.841 3.200
-5.687 -1.380 1.678
-1.990 -3.234 0.592
-4.495 -4.855 2.588
-2.864 -0.226 -0.183
```

## Properties
DOS(E_F) (states/eV/f.u.): 5.1
Magnetization (μB/cell): 4.22
E (eV/atom): -8.418
Symmetry: No. 36